# CaPr2Pd

A relaxed CaPr2Pd crystal (PBE-GGA, Alexandria).

Cell: 4.082 6.581 9.766 Å, 90.00 90.00 108.06°
Fractional positions:
Pr (0.641, 0.282, 0.441)
Pr (0.359, 0.718, 0.941)
Pd (0.768, 0.534, 0.750)
Ca (0.072, 0.144, 0.750)
Ca (0.928, 0.856, 0.250)
Pr (0.359, 0.718, 0.559)
Pd (0.232, 0.466, 0.250)
Pr (0.641, 0.282, 0.059)

Magnetization, μB per formula unit: 0.009
Relative energy among the computed polymorphs, eV per atom: 0.022
ΔH_f (0 K), eV/atom: -0.3639